# CaMnCr

CaMnCr after structural relaxation (PBE, the Alexandria database).

The space group is F-43m (No. 216) and the conventional cell measures 6.5337, 6.5337 and 6.5337 Å, with angles of 90.00, 90.00 and 90.00 degrees. The inequivalent atoms are Ca at (0.0000, 0.0000, 0.0000), Mn at (0.2500, 0.2500, 0.7500) and Cr at (0.0000, 0.0000, 0.5000).

The calculation puts the total magnetization at 2.768 μB/cell. As for the polymorph energy (0 for the lowest one): 414 meV per atom.

***

# Tb2Pr3Hg6

Tb2Pr3Hg6 after structural relaxation (PBE, the Alexandria database).

The space group is I4/mmm (No. 139) and the conventional cell measures 4.5023, 4.5023 and 33.2214 Å, with angles of 90.00, 90.00 and 90.00 degrees. The inequivalent atoms are Tb at (0.0000, 0.0000, 0.1294), Pr at (0.0000, 0.0000, 0.3176), Pr at (0.0000, 0.0000, 0.5000), Hg at (0.0000, 0.0000, 0.2205) and Hg at (0.0000, 0.5000, 0.0687).

As for the calculated total energy: -2.4991 eV per atom. The calculation puts the total magnetization at 0.000 μB/cell.

***

# TbTcGe

TbTcGe after structural relaxation (PBE, the Alexandria database).

The space group is P4/mmm (No. 123) and the conventional cell measures 3.9633, 3.9633 and 4.6752 Å, with angles of 90.00, 90.00 and 90.00 degrees. The inequivalent atoms are Tb at (0.0000, 0.0000, 0.0000), Tc at (0.5000, 0.5000, 0.5000) and Ge at (0.5000, 0.5000, 0.0000).

The calculation puts the total magnetization at 0.374 μB/cell. As for the polymorph energy (0 for the lowest one): 945 meV per atom.

***

# InTcW2

InTcW2 after structural relaxation (PBE, the Alexandria database).

The space group is I4/mmm (No. 139) and the conventional cell measures 3.8890, 3.8890 and 8.8059 Å, with angles of 90.00, 90.00 and 90.00 degrees. The inequivalent atoms are In at (0.0000, 0.0000, 0.0000), Tc at (0.0000, 0.0000, 0.5000) and W at (0.0000, 0.5000, 0.2500).

The calculation puts the total magnetization at 0.001 μB/cell. As for the polymorph energy (0 for the lowest one): 163 meV per atom.

***

# Co2BrCl

Co2BrCl after structural relaxation (PBE, the Alexandria database).

The space group is I-42d (No. 122) and the conventional cell measures 5.3643, 5.3643 and 10.9121 Å, with angles of 90.00, 90.00 and 90.00 degrees. The inequivalent atoms are Co at (0.2185, 0.2500, 0.1250), Br at (0.0000, 0.0000, 0.5000) and Cl at (0.0000, 0.0000, 0.0000).

As for the calculated total energy: -4.2439 eV per atom. The calculation puts the total magnetization at 16.000 μB/cell.

***

# Tl2VSiS4

Tl2VSiS4 after structural relaxation (PBE, the Alexandria database).

The space group is Fddd (No. 70, origin choice 2) and the conventional cell measures 6.0713, 12.3723 and 23.0010 Å, with angles of 90.00, 90.00 and 90.00 degrees. The inequivalent atoms are Tl at (0.1250, 0.1250, 0.3078), V at (0.1250, 0.1250, 0.1250), Si at (0.1250, 0.1250, 0.6250) and S at (0.0962, 0.2778, 0.8249).

As for the calculated total energy: -4.9838 eV per atom. The calculation puts the total magnetization at 22.343 μB/cell.

***

no.,mass density (g cm⁻³),V (Å³/f.u.)
1,3.50,69.7
2,9.59,336.7
3,7.45,73.4
4,14.48,66.6
5,4.93,78.5
6,4.74,216.0